Entry 1:
Entry from Alexandria: an optimized crystal structure of GaSnPb2 (PBE).

a b c (Å): 4.8628 4.8628 4.7545
angles (deg): 90.00 90.00 90.00
Space group P4/mmm (No. 123)
One atom of each set of equivalent atoms:
Ga: 0.0000 0.0000 0.0000 (multiplicity 1)
Sn: 0.5000 0.5000 0.0000 (multiplicity 1)
Pb: 0.0000 0.5000 0.5000 (multiplicity 2)

## Properties
* electronic total energy: -3.550 eV per atom



Entry 2:
Entry from Alexandria: an optimized crystal structure of PuZr2S4 (PBE).

a b c (Å): 3.7651 12.1288 12.6661
angles (deg): 90.00 90.00 90.00
Space group Cmcm (No. 63)
One atom of each set of equivalent atoms:
Pu: 0.0000 0.1149 0.2500 (multiplicity 4)
Zr: 0.0000 0.3702 0.0590 (multiplicity 8)
S: 0.0000 0.0000 0.0000 (multiplicity 4)
S: 0.0000 0.2692 0.6225 (multiplicity 8)
S: 0.0000 0.4461 0.2500 (multiplicity 4)

## Properties
* formation energy from raw total energies: -1570 meV per atom



Entry 3:
Entry from Alexandria: an optimized crystal structure of PmSmCdCu (PBE).

a b c (Å): 7.4101 7.4101 7.4101
angles (deg): 90.00 90.00 90.00
Space group F-43m (No. 216)
One atom of each set of equivalent atoms:
Pm: 0.0000 0.0000 0.0000 (multiplicity 4)
Sm: 0.0000 0.0000 0.5000 (multiplicity 4)
Cd: 0.2500 0.2500 0.2500 (multiplicity 4)
Cu: 0.2500 0.2500 0.7500 (multiplicity 4)

## Properties
* electronic total energy: -3.816 eV per atom



Entry 4:
Entry from Alexandria: an optimized crystal structure of Ca3U3TaN8 (PBE).

a b c (Å): 6.7934 6.7934 17.1234
angles (deg): 90.00 90.00 120.00
Space group R-3m (No. 166, hexagonal axes)
One atom of each set of equivalent atoms:
Ca: 0.0000 0.5000 0.0000 (multiplicity 9)
U: 0.0000 0.5000 0.5000 (multiplicity 9)
Ta: 0.0000 0.0000 0.5000 (multiplicity 3)
N: 0.0000 0.0000 0.2424 (multiplicity 6)
N: 0.0202 0.5101 0.2316 (multiplicity 18)

## Properties
* formation energy from raw total energies: -1246 meV per atom



Entry 5:
Entry from Alexandria: an optimized crystal structure of Ce2PtAu (PBE).

a b c (Å): 3.6297 3.6297 7.2514
angles (deg): 90.00 90.00 90.00
Space group P4/mmm (No. 123)
One atom of each set of equivalent atoms:
Ce: 0.0000 0.0000 0.2337 (multiplicity 2)
Pt: 0.5000 0.5000 0.0000 (multiplicity 1)
Au: 0.5000 0.5000 0.5000 (multiplicity 1)

## Properties
* electronic total energy: -6.088 eV per atom



Entry 6:
Entry from Alexandria: an optimized crystal structure of AcNd3Ru (PBE).

a b c (Å): 8.0125 7.8169 10.6995
angles (deg): 90.00 105.00 90.00
Space group P2_1/c (No. 14)
One atom of each set of equivalent atoms:
Ac: 0.1965 0.0483 0.2517 (multiplicity 4)
Nd: 0.0857 0.7049 0.0320 (multiplicity 4)
Nd: 0.3023 0.5115 0.3786 (multiplicity 4)
Nd: 0.3998 0.1249 0.5997 (multiplicity 4)
Ru: 0.4507 0.7477 0.6084 (multiplicity 4)

## Properties
* electronic total energy: -5.594 eV per atom



Entry 7:
Entry from Alexandria: an optimized crystal structure of CsAcIrO4 (PBE).

a b c (Å): 6.6882 7.9702 9.7122
angles (deg): 90.00 90.00 90.00
Space group Imma (No. 74)
One atom of each set of equivalent atoms:
Cs: 0.0000 0.2500 0.1522 (multiplicity 4)
Ac: 0.0000 0.0000 0.5000 (multiplicity 4)
Ir: 0.2500 0.2500 0.7500 (multiplicity 4)
O: 0.0000 0.0947 0.7512 (multiplicity 8)
O: 0.2188 0.2500 0.5380 (multiplicity 8)

## Properties
* formation energy from raw total energies: -1682 meV per atom



Entry 8:
Entry from Alexandria: an optimized crystal structure of CoTe2Se (PBE).

a b c (Å): 5.5808 5.5808 6.1320
angles (deg): 90.00 90.00 90.00
Space group I4/mmm (No. 139)
One atom of each set of equivalent atoms:
Co: 0.0000 0.0000 0.0000 (multiplicity 2)
Te: 0.0000 0.5000 0.0000 (multiplicity 4)
Se: 0.0000 0.0000 0.5000 (multiplicity 2)

## Properties
* formation energy from raw total energies: 259 meV per atom